The following is a PBE-GGA calculation of TbHfCS after structural relaxation, from OQMD.

Cell lengths 3.5135, 3.5135, 12.6393 Å; angles 90.00, 90.00, 120.00 degrees
Last column: nearest neighbours and their distance in Å.
Space group P6_3mc (No. 186)
One atom of each set of equivalent atoms:
Tb (0.3333, 0.6667, 0.0000) (multiplicity 2)  3 C 2.52
Hf (0.3333, 0.6667, 0.2949) (multiplicity 2)  3 C 2.31
C (0.0000, 0.0000, 0.3823) (multiplicity 2)  3 Hf 2.31, 3 Tb 2.52
S (0.3333, 0.6667, 0.6573) (multiplicity 2)  3 Hf 2.67, 3 Tb 2.84

- Calculated volume: 16.89 A^3/atom
- M_tot: 0.0 μB/f.u.
- ΔE to the lowest computed polymorph: 0 meV/atom
- VASP energy: -8.27 eV per atom


The following is a PBE-GGA calculation of Hf4TlC2S after structural relaxation, from OQMD.

Cell lengths 3.3608, 3.3608, 13.4452 Å; angles 90.00, 90.00, 120.00 degrees
Last column: nearest neighbours and their distance in Å.
Space group P-6m2 (No. 187)
One atom of each set of equivalent atoms:
Hf (0.0000, 0.0000, 0.1350) (multiplicity 2)  3 C 2.30
Hf (0.6667, 0.3333, 0.3146) (multiplicity 2)  3 C 2.27
Tl (0.0000, 0.0000, 0.5000) (multiplicity 1)  6 Hf 3.16, 6 Tl 3.36
C (0.3333, 0.6667, 0.2264) (multiplicity 2)  6 Hf 2.27-2.30
S (0.6667, 0.3333, 0.0000) (multiplicity 1)  6 Hf 2.66

- Calculated volume: 16.44 A^3/atom
- M_tot: 0.0 μB/f.u.
- VASP energy: -9.08 eV per atom


The following is a PBE-GGA calculation of Hf4TlC2S after structural relaxation, from OQMD.

Cell lengths 3.3608, 3.3608, 13.4452 Å; angles 90.00, 90.00, 120.00 degrees
Last column: nearest neighbours and their distance in Å.
Space group P-6m2 (No. 187)
One atom of each set of equivalent atoms:
Hf (0.0000, 0.0000, 0.1350) (multiplicity 2)  3 C 2.30
Hf (0.3333, 0.6667, 0.3146) (multiplicity 2)  3 C 2.27
Tl (0.0000, 0.0000, 0.5000) (multiplicity 1)  6 Hf 3.16, 6 Tl 3.36
C (0.6667, 0.3333, 0.2264) (multiplicity 2)  6 Hf 2.27-2.30
S (0.3333, 0.6667, 0.0000) (multiplicity 1)  6 Hf 2.66

- Calculated volume: 16.44 A^3/atom
- M_tot: 0.0 μB/f.u.
- VASP energy: -9.08 eV per atom


The following is a PBE-GGA calculation of Hf2W4C3S3 after structural relaxation, from OQMD.

Cell lengths 9.7905, 5.6812, 12.2330 Å; angles 90.00, 103.41, 90.00 degrees
Last column: nearest neighbours and their distance in Å.
Space group C2/c (No. 15)
One atom of each set of equivalent atoms:
Hf (0.0462, 0.0867, 0.3900) (multiplicity 8)  3 C 2.29-2.34
W (0.1051, 0.4077, 0.5871) (multiplicity 8)  3 C 2.11-2.19
W (0.2304, 0.4266, 0.9194) (multiplicity 8)  3 C 2.07-2.13
C (0.0860, 0.2547, 0.9991) (multiplicity 8)  4 W 2.11-2.19, 2 Hf 2.29-2.34
C (0.2500, 0.2500, 0.5000) (multiplicity 4)  4 W 2.07-2.16
S (0.0000, 0.4422, 0.2500) (multiplicity 4)  4 W 2.59-2.79, 2 Hf 2.62
S (0.1764, 0.0929, 0.7439) (multiplicity 8)  4 W 2.56-2.82, 2 Hf 2.61-2.63

- Calculated volume: 13.79 A^3/atom
- M_tot: 0.0 μB/f.u.
- VASP energy: -9.71 eV per atom


The following is a PBE-GGA calculation of Hf4W2C3S3 after structural relaxation, from OQMD.

Cell lengths 9.9772, 5.7664, 12.3013 Å; angles 90.00, 105.37, 90.00 degrees
Last column: nearest neighbours and their distance in Å.
Space group C2/c (No. 15)
One atom of each set of equivalent atoms:
Hf (0.1173, 0.0803, 0.1029) (multiplicity 8)  3 C 2.27-2.29
Hf (0.2147, 0.0845, 0.3968) (multiplicity 8)  3 C 2.27-2.29
W (0.0596, 0.4144, 0.9174) (multiplicity 8)  3 C 2.13-2.17
C (0.0829, 0.2512, 0.5002) (multiplicity 8)  2 W 2.16-2.17, 4 Hf 2.27-2.29
C (0.2500, 0.2500, 0.0000) (multiplicity 4)  2 W 2.13, 4 Hf 2.28
S (0.0000, 0.1034, 0.7500) (multiplicity 4)  4 Hf 2.62-2.64, 2 W 2.68
S (0.1578, 0.4255, 0.2498) (multiplicity 8)  4 Hf 2.63-2.65, 2 W 2.67-2.72

- Calculated volume: 14.22 A^3/atom
- M_tot: 0.0 μB/f.u.
- VASP energy: -9.69 eV per atom


The following is a PBE-GGA calculation of Y4Hf2C3S3 after structural relaxation, from OQMD.

Cell lengths 10.7474, 6.2240, 13.1249 Å; angles 90.00, 105.90, 90.00 degrees
Last column: nearest neighbours and their distance in Å.
Space group C2/c (No. 15)
One atom of each set of equivalent atoms:
Y (0.1194, 0.0800, 0.1075) (multiplicity 8)  3 C 2.48-2.59
Y (0.2122, 0.0858, 0.3924) (multiplicity 8)  3 C 2.49-2.58, 1 S 2.79
Hf (0.0537, 0.4153, 0.9064) (multiplicity 8)  3 C 2.27-2.37
C (0.0753, 0.2739, 0.5000) (multiplicity 8)  2 Hf 2.27, 2 Y 2.49
C (0.2500, 0.2500, 0.0000) (multiplicity 4)  2 Hf 2.37, 4 Y 2.48-2.49
S (0.0000, 0.1054, 0.7500) (multiplicity 4)  2 Hf 2.76, 4 Y 2.79
S (0.1557, 0.4281, 0.2491) (multiplicity 8)  2 Hf 2.77, 4 Y 2.79-2.81

- Calculated volume: 17.59 A^3/atom
- M_tot: 0.0 μB/f.u.
- VASP energy: -8.43 eV per atom


The following is a PBE-GGA calculation of Y3HfC2S2 after structural relaxation, from OQMD.

Cell lengths 3.6090, 3.6090, 12.7483 Å; angles 90.00, 90.00, 120.00 degrees
Last column: nearest neighbours and their distance in Å.
Space group P3m1 (No. 156)
One atom of each set of equivalent atoms:
Y (0.0000, 0.0000, 0.0000) (multiplicity 1)  3 C 2.55, 3 S 2.79
Y (0.0000, 0.0000, 0.2962) (multiplicity 1)  3 C 2.50
Y (0.6667, 0.3333, 0.5083) (multiplicity 1)  3 C 2.47
Hf (0.6667, 0.3333, 0.7989) (multiplicity 1)  3 C 2.35
C (0.3333, 0.6667, 0.4043) (multiplicity 1)  6 Y 2.47-2.50
C (0.3333, 0.6667, 0.8842) (multiplicity 1)  3 Hf 2.35, 3 Y 2.55
S (0.0000, 0.0000, 0.6649) (multiplicity 1)  3 Hf 2.69, 3 Y 2.89
S (0.6667, 0.3333, 0.1461) (multiplicity 1)  6 Y 2.79-2.83

- Calculated volume: 17.97 A^3/atom
- M_tot: 0.0 μB/f.u.
- VASP energy: -8.26 eV per atom


The following is a PBE-GGA calculation of Hf4ZnC2S after structural relaxation, from OQMD.

Cell lengths 3.3256, 3.3256, 13.1334 Å; angles 90.00, 90.00, 120.00 degrees
Last column: nearest neighbours and their distance in Å.
Space group P-6m2 (No. 187)
One atom of each set of equivalent atoms:
Hf (0.0000, 0.0000, 0.1391) (multiplicity 2)  3 C 2.28
Hf (0.3333, 0.6667, 0.3267) (multiplicity 2)  3 C 2.28
Zn (0.0000, 0.0000, 0.5000) (multiplicity 1)  6 Hf 2.98, 6 Zn 3.33
C (0.6667, 0.3333, 0.2334) (multiplicity 2)  6 Hf 2.28
S (0.3333, 0.6667, 0.0000) (multiplicity 1)  6 Hf 2.65

- Calculated volume: 15.72 A^3/atom
- M_tot: 0.0 μB/f.u.
- VASP energy: -8.90 eV per atom


The following is a PBE-GGA calculation of HfZr3C2S2 after structural relaxation, from OQMD.

Cell lengths 3.4159, 3.4159, 12.2123 Å; angles 90.00, 90.00, 120.00 degrees
Last column: nearest neighbours and their distance in Å.
Space group P3m1 (No. 156)
One atom of each set of equivalent atoms:
Hf (0.0000, 0.0000, 0.0000) (multiplicity 1)  3 C 2.29
Zr (0.0000, 0.0000, 0.7018) (multiplicity 1)  3 C 2.33
Zr (0.3333, 0.6667, 0.2000) (multiplicity 1)  3 C 2.35
Zr (0.3333, 0.6667, 0.4993) (multiplicity 1)  3 C 2.33
C (0.6667, 0.3333, 0.0957) (multiplicity 1)  3 Hf 2.29, 3 Zr 2.35
C (0.6667, 0.3333, 0.6006) (multiplicity 1)  6 Zr 2.33
S (0.0000, 0.0000, 0.3494) (multiplicity 1)  6 Zr 2.69
S (0.3333, 0.6667, 0.8540) (multiplicity 1)  3 Hf 2.66, 3 Zr 2.71

- Calculated volume: 15.43 A^3/atom
- M_tot: 0.0 μB/f.u.
- VASP energy: -9.13 eV per atom


The following is a PBE-GGA calculation of Hf3ZrC2S2 after structural relaxation, from OQMD.

Cell lengths 3.3898, 3.3898, 12.1170 Å; angles 90.00, 90.00, 120.00 degrees
Last column: nearest neighbours and their distance in Å.
Space group P3m1 (No. 156)
One atom of each set of equivalent atoms:
Hf (0.0000, 0.0000, 0.0000) (multiplicity 1)  3 C 2.30
Hf (0.0000, 0.0000, 0.2990) (multiplicity 1)  3 C 2.28
Hf (0.3333, 0.6667, 0.8012) (multiplicity 1)  3 C 2.30
Zr (0.3333, 0.6667, 0.5008) (multiplicity 1)  3 C 2.34
C (0.6667, 0.3333, 0.3954) (multiplicity 1)  3 Hf 2.28, 3 Zr 2.34
C (0.6667, 0.3333, 0.9007) (multiplicity 1)  6 Hf 2.30
S (0.0000, 0.0000, 0.6542) (multiplicity 1)  3 Hf 2.65, 3 Zr 2.70
S (0.3333, 0.6667, 0.1492) (multiplicity 1)  6 Hf 2.66-2.67

- Calculated volume: 15.07 A^3/atom
- M_tot: 0.0 μB/f.u.
- VASP energy: -9.48 eV per atom


The following is a PBE-GGA calculation of Hf4Zr2C3S3 after structural relaxation, from OQMD.

Cell lengths 10.1908, 5.8823, 12.5889 Å; angles 90.00, 105.64, 90.00 degrees
Last column: nearest neighbours and their distance in Å.
Space group C2/c (No. 15)
One atom of each set of equivalent atoms:
Hf (0.1165, 0.0845, 0.0996) (multiplicity 8)  3 C 2.28-2.30
Hf (0.2173, 0.0830, 0.4004) (multiplicity 8)  3 C 2.28-2.30
Zr (0.0490, 0.4170, 0.8986) (multiplicity 8)  3 C 2.32-2.34
C (0.0851, 0.2448, 0.5000) (multiplicity 8)  4 Hf 2.28-2.30, 2 Zr 2.34
C (0.2500, 0.2500, 0.0000) (multiplicity 4)  4 Hf 2.30, 2 Zr 2.32
S (0.0000, 0.0773, 0.7500) (multiplicity 4)  4 Hf 2.67, 2 Zr 2.69
S (0.1696, 0.4144, 0.2502) (multiplicity 8)  4 Hf 2.66-2.67, 2 Zr 2.68-2.69

- Calculated volume: 15.14 A^3/atom
- M_tot: 0.0 μB/f.u.
- VASP energy: -9.42 eV per atom


The following is a PBE-GGA calculation of Hf4SbC3 after structural relaxation, from OQMD.

Cell lengths 3.3433, 3.3433, 24.6511 Å; angles 90.00, 90.00, 120.00 degrees
Last column: nearest neighbours and their distance in Å.
Space group P6_3/mmc (No. 194)
One atom of each set of equivalent atoms:
Hf (0.0000, 0.0000, 0.1563) (multiplicity 4)  3 C 2.25
Hf (0.3333, 0.6667, 0.0522) (multiplicity 4)  6 C 2.32-2.39
Sb (0.3333, 0.6667, 0.2500) (multiplicity 2)  6 Hf 3.01, 6 Sb 3.34
C (0.0000, 0.0000, 0.0000) (multiplicity 2)  6 Hf 2.32
C (0.3333, 0.6667, 0.6097) (multiplicity 4)  6 Hf 2.25-2.39

- Calculated volume: 14.91 A^3/atom
- M_tot: 0.0 μB/f.u.
- VASP energy: -9.81 eV per atom


> What is the formula in the first record?

TbHfCS


> Among the records above, which one has the lowest VASP energy?

Hf4SbC3


> M_tot of number 6 (Y4Hf2C3S3)?

0.0 μB/f.u.